Y2OsW: optimized geometry, PBE.

a b c (Å): 8.052 8.052 6.338
angles (deg): 50.56 50.56 90.00
Element x y z (fractional)
W (0.250, 0.750, 0.500)
Y (0.875, 0.916, 0.750)
Os (0.000, 0.000, 0.000)
Y (0.084, 0.625, 0.250)
Os (0.750, 0.250, 0.500)
Y (0.375, 0.334, 0.750)
Y (0.666, 0.125, 0.250)
W (0.500, 0.500, 0.000)

Properties
Density of states at the Fermi level   1.351 states/eV per atom
DFT total energy   -8.3878 eV per atom
Formation enthalpy at 0 K   0.890 eV per atom
Density   10.155 g/cm3